Entry 1:
Computed, not measured: a relaxed Sm5Dy2Tm12 crystal at the PBE-GGA level of DFT.

Summary:
Energy relative to the elements in eV per atom: 0.02
Excess energy over the best structure of this formula in the dataset in meV per atom: 0.0
Size of the total moment in μB per atom: 0.0000
Final energy in eV per formula unit: -86.02

Cell lengths 6.111, 10.584, 12.706 Å; angles 133.79, 94.69, 84.39 degrees
Sites, in units of the cell vectors:
Tm1 0.474 0.052 0.394
Sm1 0.000 0.000 0.500
Tm2 0.054 0.896 0.712
Tm3 0.789 0.422 0.659
Sm2 0.263 0.474 0.553
Tm4 0.104 0.790 0.922
Tm5 0.631 0.738 0.027
Tm6 0.211 0.578 0.341
Tm7 0.896 0.210 0.078
Dy1 0.420 0.156 0.183
Tm8 0.526 0.948 0.606
Tm9 0.316 0.368 0.763
Sm3 0.737 0.526 0.447
Sm4 0.159 0.685 0.132
Sm5 0.841 0.315 0.868
Tm10 0.369 0.262 0.973
Tm11 0.946 0.104 0.288
Tm12 0.684 0.632 0.237
Dy2 0.580 0.844 0.817



Entry 2:
Computed, not measured: a relaxed CsAlBi crystal at the PBE-GGA level of DFT.

Summary:
Energy relative to the elements in eV per atom: -0.01
Excess energy over the best structure of this formula in the dataset in meV per atom: 164.5
Size of the total moment in μB per atom: 0.0000
Final energy in eV per formula unit: -8.49

Cell lengths 4.605, 5.228, 10.567 Å; angles 90.01, 102.58, 90.00 degrees
Sites, in units of the cell vectors:
Al1 0.473 0.750 0.946
Al2 0.527 0.250 0.054
Cs1 0.677 0.750 0.355
Cs2 0.323 0.250 0.645
Bi1 0.897 0.750 0.794
Bi2 0.103 0.250 0.206



Entry 3:
Computed, not measured: a relaxed Dy5ScSe6 crystal at the PBE-GGA level of DFT.

Summary:
Formation energy without anion corrections in eV/atom: -1.718
Size of the total moment in μB per atom: 0.0000
Final energy in eV per formula unit: -70.87

Cell lengths 7.006, 7.006, 7.020 Å; angles 99.55, 99.55, 120.29 degrees
Sites, in units of the cell vectors:
Se1 0.241 0.241 0.752
Se2 0.759 0.759 0.248
Se3 0.081 0.405 0.243
Se4 0.919 0.595 0.757
Dy1 0.500 0.500 0.500
Se5 0.405 0.081 0.243
Se6 0.595 0.919 0.757
Sc1 0.000 0.000 0.000
Dy2 0.828 0.172 0.500
Dy3 0.666 0.334 0.000
Dy4 0.334 0.666 0.000
Dy5 0.172 0.828 0.500



Entry 4:
Computed, not measured: a relaxed PuCd6Hg6 crystal at the PBE-GGA level of DFT.

Summary:
Energy relative to the elements in eV per atom: 0.00
Size of the total moment in μB per atom: 0.4718
Final energy in eV per formula unit: -21.69

Cell lengths 6.127, 7.799, 7.799 Å; angles 79.33, 66.87, 66.87 degrees
Sites, in units of the cell vectors:
Hg1 0.000 0.651 0.349
Cd1 0.000 0.500 0.000
Cd2 0.500 0.000 0.500
Hg2 0.325 0.675 0.675
Cd3 0.500 0.255 0.745
Cd4 0.000 0.000 0.500
Hg3 0.338 0.162 0.162
Pu1 0.000 0.000 0.000
Cd5 0.500 0.500 0.000
Hg4 0.662 0.838 0.838
Hg5 0.675 0.325 0.325
Hg6 0.000 0.349 0.651
Cd6 0.500 0.745 0.255



Which value of final energy does entry 4 give?
-21.69 eV per formula unit



size of the total moment of number 3 (Dy5ScSe6)?
0.0000 μB per atom